First-principles (PBE) data for a geometry-optimized ZnHgSb2 structure, as listed in the Alexandria database.

Lattice parameters (Å, degrees): 3.5761 3.5761 7.7257 90.00 90.00 90.00
Last column: nearest neighbours and their distance in Å.
Space group P4mm (No. 99)
Unique sites:
1 Zn 0.0000 0.0000 0.0000 [1 per cell]  4 Hg 3.05, 4 Sb 3.13
2 Hg 0.5000 0.5000 0.2215 [1 per cell]  4 Zn 3.05
3 Sb 0.0000 0.0000 0.5197 [1 per cell]  4 Sb 3.14, 4 Hg 3.42
4 Sb 0.5000 0.5000 0.7611 [1 per cell]  4 Zn 3.13, 4 Sb 3.14

## Properties
- E_form (uncorrected) (meV per atom) = 219
- energy relative to the lowest polymorph listed for this composition (kJ/mol of atoms) = 11.8